Record 1
Entry from Alexandria via LeMat-Bulk: Ca2Ag2Pb after structural relaxation (PBE).

Lattice parameters (Å, degrees): 9.539 9.539 9.539 156.47 156.47 33.52
Fractional positions:
Ca1 0.110 0.110 0.000
Ca2 0.890 0.890 0.000
Ag1 0.250 0.750 0.500
Ag2 0.750 0.250 0.500
Pb1 0.500 0.500 0.000

Properties
space group: I4/mmm, No. 139
total DFT energy (no corrections): -0.1088 Ha/atom

Record 2
Entry from Alexandria via LeMat-Bulk: Ca3Ag8Pb after structural relaxation (PBE).

Lattice parameters (Å, degrees): 10.071 10.071 10.071 32.82 32.82 32.82
Fractional positions:
Ca1 0.000 0.000 0.000
Ca2 0.128 0.128 0.128
Ca3 0.615 0.615 0.615
Ag1 0.057 0.560 0.560
Ag2 0.060 0.060 0.564
Ag3 0.060 0.564 0.060
Ag4 0.310 0.310 0.310
Ag5 0.560 0.057 0.560
Ag6 0.560 0.560 0.057
Ag7 0.564 0.060 0.060
Ag8 0.810 0.810 0.810
Pb1 0.494 0.494 0.494

Properties
space group: R3m, No. 160
total DFT energy (no corrections): -0.1082 Ha/atom

Record 3
Entry from Alexandria via LeMat-Bulk: Ca2Ag2Pd5Pb after structural relaxation (PBE).

Lattice parameters (Å, degrees): 9.769 9.769 4.125 90.00 90.00 90.00
Fractional positions:
Ca1 0.171 0.329 0.000
Ca2 0.329 0.829 0.000
Ca3 0.671 0.171 0.000
Ca4 0.829 0.671 0.000
Ag1 0.127 0.627 0.000
Ag2 0.373 0.127 0.000
Ag3 0.627 0.873 0.000
Ag4 0.873 0.373 0.000
Pd1 0.000 0.500 0.500
Pd2 0.064 0.798 0.500
Pd3 0.202 0.064 0.500
Pd4 0.298 0.564 0.500
Pd5 0.436 0.298 0.500
Pd6 0.500 0.000 0.500
Pd7 0.564 0.702 0.500
Pd8 0.702 0.436 0.500
Pd9 0.798 0.936 0.500
Pd10 0.936 0.202 0.500
Pb1 0.000 0.000 0.000
Pb2 0.500 0.500 0.000

Properties
space group: P4/mbm, No. 127
total DFT energy (no corrections): -0.1601 Ha/atom

Record 4
Entry from Alexandria via LeMat-Bulk: CaAgPdPb after structural relaxation (PBE).

Lattice parameters (Å, degrees): 4.987 4.987 4.987 60.00 60.00 60.00
Fractional positions:
Ca1 0.000 0.000 0.000
Ag1 0.750 0.750 0.750
Pd1 0.250 0.250 0.250
Pb1 0.500 0.500 0.500

Properties
space group: F-43m, No. 216
total DFT energy (no corrections): -0.1408 Ha/atom

Record 5
Entry from Alexandria via LeMat-Bulk: CaPmAgPb after structural relaxation (PBE).

Lattice parameters (Å, degrees): 5.399 5.399 5.399 60.00 60.00 60.00
Fractional positions:
Ca1 0.000 0.000 0.000
Pm1 0.500 0.500 0.500
Ag1 0.250 0.250 0.250
Pb1 0.750 0.750 0.750

Properties
space group: F-43m, No. 216
total DFT energy (no corrections): -0.1394 Ha/atom

Record 6
Entry from Alexandria via LeMat-Bulk: CaPm2Ag2Pb2 after structural relaxation (PBE).

Lattice parameters (Å, degrees): 9.545 9.545 9.545 30.36 30.36 30.36
Fractional positions:
Ca1 0.000 0.000 0.000
Pm1 0.137 0.137 0.137
Pm2 0.863 0.863 0.863
Ag1 0.441 0.441 0.441
Ag2 0.559 0.559 0.559
Pb1 0.264 0.264 0.264
Pb2 0.736 0.736 0.736

Properties
space group: R-3m, No. 166
total DFT energy (no corrections): -0.1405 Ha/atom

Record 7
Entry from Alexandria via LeMat-Bulk: CaPr2Ag2Pb2 after structural relaxation (PBE).

Lattice parameters (Å, degrees): 9.626 9.626 9.626 30.16 30.16 30.16
Fractional positions:
Ca1 0.000 0.000 0.000
Pr1 0.138 0.138 0.138
Pr2 0.862 0.862 0.862
Ag1 0.438 0.438 0.438
Ag2 0.562 0.562 0.562
Pb1 0.266 0.266 0.266
Pb2 0.734 0.734 0.734

Properties
space group: R-3m, No. 166
total DFT energy (no corrections): -0.1404 Ha/atom

Record 8
Entry from Alexandria via LeMat-Bulk: Ca2PrAg2Pb2 after structural relaxation (PBE).

Lattice parameters (Å, degrees): 9.441 9.441 9.441 30.46 30.46 30.46
Fractional positions:
Ca1 0.136 0.136 0.136
Ca2 0.864 0.864 0.864
Pr1 0.000 0.000 0.000
Ag1 0.433 0.433 0.433
Ag2 0.567 0.567 0.567
Pb1 0.266 0.266 0.266
Pb2 0.734 0.734 0.734

Properties
space group: R-3m, No. 166
total DFT energy (no corrections): -0.1272 Ha/atom

Record 9
Entry from Alexandria via LeMat-Bulk: CaPuAgPb after structural relaxation (PBE).

Lattice parameters (Å, degrees): 5.376 5.376 5.376 60.00 60.00 60.00
Fractional positions:
Ca1 0.000 0.000 0.000
Pu1 0.500 0.500 0.500
Ag1 0.750 0.750 0.750
Pb1 0.250 0.250 0.250

Properties
space group: F-43m, No. 216
total DFT energy (no corrections): -0.2178 Ha/atom

Record 10
Entry from Alexandria via LeMat-Bulk: Ca2ReAgPb after structural relaxation (PBE).

Lattice parameters (Å, degrees): 5.936 5.936 5.215 90.00 90.00 90.00
Fractional positions:
Ca1 0.000 0.500 0.000
Ca2 0.500 0.000 0.000
Re1 0.000 0.000 0.500
Ag1 0.500 0.500 0.500
Pb1 0.500 0.500 0.000

Properties
space group: P4/mmm, No. 123
total DFT energy (no corrections): -0.1224 Ha/atom

Record 11
Entry from Alexandria via LeMat-Bulk: CaAg2PbS after structural relaxation (PBE).

Lattice parameters (Å, degrees): 4.847 4.847 5.990 90.00 90.00 90.00
Fractional positions:
Ca1 0.000 0.000 0.000
Ag1 0.000 0.500 0.500
Ag2 0.500 0.000 0.500
Pb1 0.500 0.500 0.000
S1 0.500 0.500 0.500

Properties
space group: P4/mmm, No. 123
uncorrected formation energy: 30 meV per atom

Record 12
Entry from Alexandria via LeMat-Bulk: CaScAgPb after structural relaxation (PBE).

Lattice parameters (Å, degrees): 5.186 5.186 5.186 60.00 60.00 60.00
Fractional positions:
Ca1 0.000 0.000 0.000
Sc1 0.500 0.500 0.500
Ag1 0.250 0.250 0.250
Pb1 0.750 0.750 0.750

Properties
space group: F-43m, No. 216
total DFT energy (no corrections): -0.1502 Ha/atom

Record 13
Entry from Alexandria via LeMat-Bulk: Sr2CaAgPb after structural relaxation (PBE).

Lattice parameters (Å, degrees): 6.367 6.367 5.974 90.00 90.00 90.00
Fractional positions:
Sr1 0.000 0.500 0.000
Sr2 0.500 0.000 0.000
Ca1 0.000 0.000 0.500
Ag1 0.500 0.500 0.500
Pb1 0.000 0.000 0.000

Properties
space group: P4/mmm, No. 123
total DFT energy (no corrections): -0.0872 Ha/atom

Record 14
Entry from Alexandria via LeMat-Bulk: CaTbAgPb after structural relaxation (PBE).

Lattice parameters (Å, degrees): 5.340 5.340 5.340 60.00 60.00 60.00
Fractional positions:
Ca1 0.000 0.000 0.000
Tb1 0.500 0.500 0.500
Ag1 0.250 0.250 0.250
Pb1 0.750 0.750 0.750

Properties
space group: F-43m, No. 216
total DFT energy (no corrections): -0.1377 Ha/atom

Record 15
Entry from Alexandria via LeMat-Bulk: CaThAgPb after structural relaxation (PBE).

Lattice parameters (Å, degrees): 5.421 5.421 5.421 60.00 60.00 60.00
Fractional positions:
Ca1 0.000 0.000 0.000
Th1 0.500 0.500 0.500
Ag1 0.750 0.750 0.750
Pb1 0.250 0.250 0.250

Properties
space group: F-43m, No. 216
total DFT energy (no corrections): -0.1553 Ha/atom

Record 16
Entry from Alexandria via LeMat-Bulk: Ca4TlAg2Pb after structural relaxation (PBE).

Lattice parameters (Å, degrees): 9.340 9.340 9.340 33.44 33.44 33.44
Fractional positions:
Ca1 0.125 0.125 0.125
Ca2 0.375 0.375 0.375
Ca3 0.625 0.625 0.625
Ca4 0.875 0.875 0.875
Tl1 0.500 0.500 0.500
Ag1 0.247 0.247 0.247
Ag2 0.753 0.753 0.753
Pb1 0.000 0.000 0.000

Properties
space group: R-3m, No. 166
total DFT energy (no corrections): -0.1060 Ha/atom

Record 17
Entry from Alexandria via LeMat-Bulk: Ca3Tl2Ag4Pb2 after structural relaxation (PBE).

Lattice parameters (Å, degrees): 4.952 4.952 13.746 90.00 90.00 120.00
Fractional positions:
Ca1 0.000 0.000 0.000
Ca2 0.000 0.000 0.272
Ca3 0.000 0.000 0.728
Tl1 0.333 0.667 0.573
Tl2 0.667 0.333 0.427
Ag1 0.333 0.667 0.361
Ag2 0.333 0.667 0.878
Ag3 0.667 0.333 0.122
Ag4 0.667 0.333 0.639
Pb1 0.333 0.667 0.140
Pb2 0.667 0.333 0.860

Properties
space group: P-3m1, No. 164
total DFT energy (no corrections): -0.1084 Ha/atom

Record 18
Entry from Alexandria via LeMat-Bulk: CaTlAgPb after structural relaxation (PBE).

Lattice parameters (Å, degrees): 5.280 5.280 5.280 60.00 60.00 60.00
Fractional positions:
Ca1 0.000 0.000 0.000
Tl1 0.750 0.750 0.750
Ag1 0.500 0.500 0.500
Pb1 0.250 0.250 0.250

Properties
space group: F-43m, No. 216
total DFT energy (no corrections): -0.1081 Ha/atom

Record 19
Entry from Alexandria via LeMat-Bulk: CaTmAgPb after structural relaxation (PBE).

Lattice parameters (Å, degrees): 5.296 5.296 5.296 60.00 60.00 60.00
Fractional positions:
Ca1 0.000 0.000 0.000
Tm1 0.500 0.500 0.500
Ag1 0.750 0.750 0.750
Pb1 0.250 0.250 0.250

Properties
space group: F-43m, No. 216
total DFT energy (no corrections): -0.1353 Ha/atom

Record 20
Entry from Alexandria via LeMat-Bulk: Ca3AgPd after structural relaxation (PBE).

Lattice parameters (Å, degrees): 5.502 5.502 5.502 90.00 90.00 90.00
Fractional positions:
Ca1 0.000 0.000 0.500
Ca2 0.000 0.500 0.000
Ca3 0.500 0.000 0.000
Ag1 0.500 0.500 0.500
Pd1 0.000 0.000 0.000

Properties
energy relative to the lowest polymorph listed for this composition: 0.202 eV per atom
space group: Pm-3m, No. 221

Record 21
Entry from Alexandria via LeMat-Bulk: CaAgPd3 after structural relaxation (PBE).

Lattice parameters (Å, degrees): 4.959 4.959 4.959 90.00 90.00 90.00
Fractional positions:
Ca1 0.000 0.000 0.000
Ag1 0.500 0.500 0.500
Pd1 0.000 0.500 0.500
Pd2 0.500 0.000 0.500
Pd3 0.500 0.500 0.000

Properties
energy relative to the lowest polymorph listed for this composition: 0.000 eV per atom
space group: Pm-3m, No. 221

Record 22
Entry from Alexandria via LeMat-Bulk: Ca4AgPd4 after structural relaxation (PBE).

Lattice parameters (Å, degrees): 8.810 8.810 5.781 90.00 90.00 90.00
Fractional positions:
Ca1 0.041 0.818 0.110
Ca2 0.182 0.541 0.610
Ca3 0.318 0.959 0.610
Ca4 0.459 0.682 0.110
Ca5 0.541 0.318 0.890
Ca6 0.682 0.041 0.390
Ca7 0.818 0.459 0.390
Ca8 0.959 0.182 0.890
Ag1 0.250 0.250 0.250
Ag2 0.750 0.750 0.750
Pd1 0.009 0.866 0.607
Pd2 0.134 0.509 0.107
Pd3 0.366 0.991 0.107
Pd4 0.491 0.634 0.607
Pd5 0.509 0.366 0.393
Pd6 0.634 0.009 0.893
Pd7 0.866 0.491 0.893
Pd8 0.991 0.134 0.393

Properties
space group: P4_2/n, No. 86
total DFT energy (no corrections): -0.1454 Ha/atom

Record 23
Entry from Alexandria via LeMat-Bulk: Ca3AgPd4 after structural relaxation (PBE).

Lattice parameters (Å, degrees): 4.424 8.928 8.712 90.00 90.00 90.00
Fractional positions:
Ca1 0.250 0.031 0.177
Ca2 0.250 0.469 0.177
Ca3 0.250 0.750 0.600
Ca4 0.750 0.250 0.400
Ca5 0.750 0.531 0.823
Ca6 0.750 0.969 0.823
Ag1 0.250 0.250 0.877
Ag2 0.750 0.750 0.123
Pd1 0.250 0.087 0.573
Pd2 0.250 0.413 0.573
Pd3 0.250 0.750 0.297
Pd4 0.250 0.750 0.939
Pd5 0.750 0.250 0.061
Pd6 0.750 0.250 0.703
Pd7 0.750 0.587 0.427
Pd8 0.750 0.913 0.427

Properties
space group: Pmmn, No. 59
total DFT energy (no corrections): -0.1550 Ha/atom

Record 24
Entry from Alexandria via LeMat-Bulk: Ca2AgPd after structural relaxation (PBE).

Lattice parameters (Å, degrees): 6.507 6.507 6.507 150.64 127.57 61.23
Fractional positions:
Ca1 0.232 0.232 0.000
Ca2 0.768 0.768 0.000
Ag1 0.500 0.500 0.000
Pd1 0.000 0.000 0.000

Properties
space group: Immm, No. 71
total DFT energy (no corrections): -0.0989 Ha/atom

Record 25
Entry from Alexandria via LeMat-Bulk: Ca4Ag3Pd2 after structural relaxation (PBE).

Lattice parameters (Å, degrees): 4.953 4.953 9.894 90.00 90.00 120.00
Fractional positions:
Ca1 0.000 0.000 0.172
Ca2 0.000 0.000 0.828
Ca3 0.333 0.667 0.386
Ca4 0.667 0.333 0.614
Ag1 0.000 0.000 0.500
Ag2 0.333 0.667 0.991
Ag3 0.667 0.333 0.009
Pd1 0.333 0.667 0.698
Pd2 0.667 0.333 0.302

Properties
space group: P-3m1, No. 164
total DFT energy (no corrections): -0.1260 Ha/atom

Number 1: V 138.2 Å³/cell, magnetization 0.00 μB per cell. Number 2: V 267.0 Å³/cell, magnetization 0.00 μB per cell. Number 3: V 393.6 Å³/cell, magnetization 0.00 μB per cell. Number 4: V 87.7 Å³/cell, magnetization 0.00 μB per cell. Number 5: V 111.3 Å³/cell, magnetization 0.00 μB per cell. Number 6: V 196.8 Å³/cell, magnetization 0.00 μB per cell. Number 7: V 199.5 Å³/cell, magnetization 0.00 μB per cell. Number 8: V 191.7 Å³/cell, magnetization 0.00 μB per cell. Number 9: V 109.9 Å³/cell, magnetization 5.43 μB per cell. Number 10: V 183.8 Å³/cell, magnetization 3.99 μB per cell. Number 11: V 140.7 Å³/cell, magnetization 0.00 μB per cell. Number 12: V 98.6 Å³/cell, magnetization 0.00 μB per cell. Number 13: V 242.2 Å³/cell, magnetization 0.00 μB per cell. Number 14: V 107.6 Å³/cell, magnetization 0.00 μB per cell. Number 15: V 112.6 Å³/cell, magnetization 0.00 μB per cell. Number 16: V 220.4 Å³/cell, magnetization 0.00 μB per cell. Number 17: V 291.9 Å³/cell, magnetization 0.00 μB per cell. Number 18: V 104.1 Å³/cell, magnetization 0.00 μB per cell. Number 19: V 105.0 Å³/cell, magnetization 0.00 μB per cell. Number 20: V 166.6 Å³/cell, magnetization 0.00 μB per cell. Number 21: V 122.0 Å³/cell, magnetization 0.00 μB per cell. Number 22: V 448.8 Å³/cell, magnetization 0.00 μB per cell. Number 23: V 344.1 Å³/cell, magnetization 0.00 μB per cell. Number 24: V 106.1 Å³/cell, magnetization 0.00 μB per cell. Number 25: V 210.2 Å³/cell, magnetization 0.00 μB per cell.